{"formula": "LiTc2As2", "functional": "PBE", "state": "optimized geometry", "lattice_angstrom": [[1.824, 2.394, 5.050], [-0.438, 5.805, 0.821], [-3.379, -4.464, -1.793]], "species": ["As", "As", "Li", "Tc", "Tc"], "fractional_positions": [[0.377, 0.377, 0.000], [0.623, 0.623, 0.000], [0.000, 0.000, 0.000], [0.750, 0.250, 0.500], [0.250, 0.750, 0.500]], "total_energy_ev_per_atom": -6.570, "spacegroup": "I4/mmm"}